The following is a PBE-GGA calculation of a geometry-optimized BeTe2As structure, from the Alexandria database.

Summary:
Relative energy among the computed polymorphs = 0 meV per atom

Cell lengths 3.300, 3.300, 9.269 Å; angles 90.00, 90.00, 90.00 degrees
Element x y z (fractional)
Be 0.000 0.000 0.000
Te 0.000 0.000 0.740
Te 0.500 0.500 0.343
As 0.500 0.500 0.061

The following is a PBE-GGA calculation of a geometry-optimized TaIn2W structure, from the Alexandria database.

Summary:
Energy relative to the elements = 0.5061 eV/atom
Relative energy among the computed polymorphs = 188 meV per atom

Cell lengths 2.897, 4.549, 5.795 Å; angles 90.00, 90.00, 90.00 degrees
Element x y z (fractional)
Ta 0.000 0.000 0.000
In 0.500 0.500 0.253
In 0.500 0.500 0.747
W 0.000 0.000 0.500

Look up the relative energy among the computed polymorphs of the first one.
0 meV per atom